[1]
First-principles (GGA-PBE) data for crystalline Cs3Ce2SmTe6 at its relaxed geometry, as listed in the Alexandria database.

## Properties
Total energy, eV per cell: -54.376
Space group: No. 12

Unit cell a=8.132 b=8.132 c=9.319 alpha=98.36 beta=98.36 gamma=120.00
Last column: magnetic moment on the atom in μB.
Element x y z (fractional)
Cs  0.167  0.833  0.500  0.00
Cs  0.833  0.167  0.500  0.00
Cs  0.500  0.500  0.500  0.00
Ce  0.333  0.667  0.000  -0.99
Ce  0.667  0.333  0.000  -0.99
Sm  0.000  0.000  0.000  -0.01
Te  0.936  0.606  0.807  0.01
Te  0.735  0.735  0.194  0.01
Te  0.064  0.394  0.193  0.01
Te  0.606  0.936  0.807  0.01
Te  0.265  0.265  0.806  0.01
Te  0.394  0.064  0.193  0.01


[2]
First-principles (GGA-PBE) data for crystalline Cs4CeSm3Te8 at its relaxed geometry, as listed in the Alexandria database.

## Properties
Total energy, eV per cell: -70.856
Space group: No. 166

Unit cell a=9.314 b=10.427 c=9.315 alpha=116.54 beta=120.00 gamma=90.00
Last column: magnetic moment on the atom in μB.
Element x y z (fractional)
Cs  0.500  0.000  0.000  0.00
Cs  0.500  0.000  0.500  0.00
Cs  0.000  0.000  0.000  0.00
Cs  0.000  0.000  0.500  0.00
Ce  0.000  0.500  0.000  0.98
Sm  0.500  0.500  0.000  0.00
Sm  0.500  0.500  0.500  0.00
Sm  0.000  0.500  0.500  0.00
Te  0.233  0.693  0.960  -0.01
Te  0.233  0.693  0.466  -0.01
Te  0.269  0.308  0.538  0.00
Te  0.727  0.693  0.960  -0.01
Te  0.273  0.307  0.040  -0.01
Te  0.731  0.692  0.462  0.00
Te  0.767  0.307  0.534  -0.01
Te  0.767  0.307  0.040  -0.01